[1]
Material: Na2TbAlSe4
Method: DFT, PBE
State: relaxed

The calculation puts the uncorrected formation energy at -1.284 eV/atom. As for the density: 4.8 g/cm³.

It has space group Imma (No. 74), with a = 7.900 Å, b = 8.351 Å, c = 11.569 Å, α = 90.00°, β = 90.00° and γ = 90.00°. Symmetry generates all atoms from Na at (0.000, 0.000, 0.000), Na at (0.250, 0.250, 0.250), Tb at (0.000, 0.000, 0.500), Al at (0.250, 0.250, 0.750), Se at (0.000, 0.038, 0.749) and Se at (0.247, 0.250, 0.515).



[2]
Material: Na3Tb2AlSe6
Method: DFT, PBE
State: relaxed

The calculation puts the uncorrected formation energy at -1.432 eV/atom. As for the density: 4.9 g/cm³.

It has space group C2/m (No. 12), with a = 7.021 Å, b = 12.174 Å, c = 7.385 Å, α = 90.00°, β = 108.60° and γ = 90.00°. Symmetry generates all atoms from Na at (0.000, 0.000, 0.000), Na at (0.000, 0.331, 0.000), Tb at (0.000, 0.166, 0.500), Al at (0.000, 0.500, 0.500), Se at (0.228, 0.346, 0.721) and Se at (0.233, 0.500, 0.282).



[3]
Material: Na4Tb3AlSe8
Method: DFT, PBE
State: relaxed

The calculation puts the uncorrected formation energy at -1.489 eV/atom. As for the density: 5.0 g/cm³.

It has space group R-3m (No. 166, hexagonal axes), with a = 8.1634 Å, b = 8.1634 Å, c = 21.0327 Å, α = 90.00°, β = 90.00° and γ = 120.00°. Symmetry generates all atoms from Na at (0.0000, 0.0000, 0.0000), Na at (0.0000, 0.5000, 0.0000), Tb at (0.0000, 0.5000, 0.5000), Al at (0.0000, 0.0000, 0.5000), Se at (0.0000, 0.0000, 0.2441) and Se at (0.0226, 0.5113, 0.2401).



[4]
Material: NaAlTe2Se4
Method: DFT, PBE
State: relaxed

The calculation puts the uncorrected formation energy at -0.432 eV/atom. As for the density: 4.8 g/cm³.

It has space group Fmm2 (No. 42), with a = 10.958 Å, b = 10.997 Å, c = 7.166 Å, α = 90.00°, β = 90.00° and γ = 90.00°. Symmetry generates all atoms from Na at (0.000, 0.000, 0.000), Al at (0.000, 0.000, 0.501), Te at (0.250, 0.250, 0.253), Se at (0.000, 0.183, 0.303) and Se at (0.184, 0.000, 0.697).



[5]
Material: NaAl2TeSe6
Method: DFT, PBE
State: relaxed

The calculation puts the uncorrected formation energy at -0.486 eV/atom. As for the density: 4.1 g/cm³.

It has space group C2/c (No. 15), with a = 12.352 Å, b = 12.398 Å, c = 7.247 Å, α = 90.00°, β = 98.61° and γ = 90.00°. Symmetry generates all atoms from Na at (0.000, 0.064, 0.250), Al at (0.187, 0.408, 0.198), Te at (0.000, 0.254, 0.750), Se at (0.130, 0.440, 0.504), Se at (0.131, 0.231, 0.097) and Se at (0.133, 0.117, 0.616).



[6]
Material: Na4Ti3AlSe8
Method: DFT, PBE
State: relaxed

The calculation puts the uncorrected formation energy at -1.115 eV/atom. As for the density: 4.3 g/cm³.

It has space group R-3m (No. 166, hexagonal axes), with a = 7.5864 Å, b = 7.5864 Å, c = 20.8717 Å, α = 90.00°, β = 90.00° and γ = 120.00°. Symmetry generates all atoms from Na at (0.0000, 0.0000, 0.0000), Na at (0.0000, 0.5000, 0.0000), Ti at (0.0000, 0.5000, 0.5000), Al at (0.0000, 0.0000, 0.5000), Se at (0.0000, 0.0000, 0.2378) and Se at (0.0037, 0.5019, 0.2360).



[7]
Material: Na2TiAlSe4
Method: DFT, PBE
State: relaxed

The calculation puts the uncorrected formation energy at -1.001 eV/atom. As for the density: 3.2 g/cm³.

It has space group I-4 (No. 82), with a = 6.560 Å, b = 6.560 Å, c = 10.618 Å, α = 90.00°, β = 90.00° and γ = 90.00°. Symmetry generates all atoms from Na at (0.000, 0.000, 0.000), Na at (0.000, 0.500, 0.250), Ti at (0.000, 0.500, 0.750), Al at (0.000, 0.000, 0.500) and Se at (0.190, 0.245, 0.624).



[8]
Material: Na3Tm3AlSe8
Method: DFT, PBE
State: relaxed

The calculation puts the uncorrected formation energy at -1.422 eV/atom. As for the density: 5.2 g/cm³.

It has space group R-3m (No. 166, hexagonal axes), with a = 7.9702 Å, b = 7.9702 Å, c = 21.5142 Å, α = 90.00°, β = 90.00° and γ = 120.00°. Symmetry generates all atoms from Na at (0.0000, 0.5000, 0.0000), Tm at (0.0000, 0.5000, 0.5000), Al at (0.0000, 0.0000, 0.5000), Se at (0.0000, 0.0000, 0.2427) and Se at (0.0218, 0.5109, 0.2377).



[9]
Material: Na2U2AlSe6
Method: DFT, PBE
State: relaxed

The calculation puts the uncorrected formation energy at -1.061 eV/atom. As for the density: 5.7 g/cm³.

It has space group C2/m (No. 12), with a = 7.040 Å, b = 12.069 Å, c = 7.434 Å, α = 90.00°, β = 108.11° and γ = 90.00°. Symmetry generates all atoms from Na at (0.000, 0.169, 0.000), U at (0.000, 0.333, 0.500), Al at (0.000, 0.000, 0.500), Se at (0.229, 0.000, 0.288) and Se at (0.231, 0.157, 0.720).



[10]
Material: Na2UAlSe5
Method: DFT, PBE
State: relaxed

The calculation puts the uncorrected formation energy at -1.030 eV/atom. As for the density: 4.6 g/cm³.

It has space group Cmc2_1 (No. 36), with a = 4.093 Å, b = 17.933 Å, c = 13.968 Å, α = 90.00°, β = 90.00° and γ = 90.00°. Symmetry generates all atoms from Na at (0.000, 0.091, 0.000), Na at (0.000, 0.093, 0.688), U at (0.000, 0.226, 0.367), Al at (0.000, 0.421, 0.754), Se at (0.000, 0.065, 0.358), Se at (0.000, 0.279, 0.998), Se at (0.000, 0.285, 0.727), Se at (0.000, 0.371, 0.346) and Se at (0.000, 0.490, 0.614).



[11]
Material: NaAlW2Se
Method: DFT, PBE
State: relaxed

The calculation puts the uncorrected formation energy at 2.637 eV/atom. As for the density: 8.1 g/cm³.

It has space group P4/mmm (No. 123), with a = 4.775 Å, b = 4.775 Å, c = 4.460 Å, α = 90.00°, β = 90.00° and γ = 90.00°. Symmetry generates all atoms from Na at (0.000, 0.000, 0.000), Al at (0.000, 0.000, 0.500), W at (0.000, 0.500, 0.000) and Se at (0.500, 0.500, 0.500).



[12]
Material: NaAlWSe2
Method: DFT, PBE
State: relaxed

The calculation puts the uncorrected formation energy at 0.776 eV/atom. As for the density: 5.1 g/cm³.

It has space group P4/mmm (No. 123), with a = 5.088 Å, b = 5.088 Å, c = 4.962 Å, α = 90.00°, β = 90.00° and γ = 90.00°. Symmetry generates all atoms from Na at (0.000, 0.000, 0.000), Al at (0.500, 0.500, 0.500), W at (0.500, 0.500, 0.000) and Se at (0.000, 0.500, 0.500).



[13]
Material: NaY2AlSe
Method: DFT, PBE
State: relaxed

The calculation puts the uncorrected formation energy at -0.396 eV/atom. As for the density: 3.5 g/cm³.

It has space group P4/mmm (No. 123), with a = 5.409 Å, b = 5.409 Å, c = 5.030 Å, α = 90.00°, β = 90.00° and γ = 90.00°. Symmetry generates all atoms from Na at (0.000, 0.000, 0.000), Y at (0.000, 0.500, 0.500), Al at (0.500, 0.500, 0.000) and Se at (0.000, 0.000, 0.500).



[14]
Material: NaAl2ZnSe4
Method: DFT, PBE
State: relaxed

The calculation puts the uncorrected formation energy at -0.726 eV/atom. As for the density: 3.7 g/cm³.

It has space group Fmm2 (No. 42), with a = 8.066 Å, b = 9.082 Å, c = 11.277 Å, α = 90.00°, β = 90.00° and γ = 90.00°. Symmetry generates all atoms from Na at (0.000, 0.000, 0.000), Al at (0.250, 0.250, 0.242), Zn at (0.000, 0.000, 0.477), Se at (0.000, 0.223, 0.611) and Se at (0.237, 0.000, 0.336).



[15]
Material: Na2ZrAlSe5
Method: DFT, PBE
State: relaxed

The calculation puts the uncorrected formation energy at -1.026 eV/atom. As for the density: 3.9 g/cm³.

It has space group Cmc2_1 (No. 36), with a = 3.685 Å, b = 18.599 Å, c = 13.896 Å, α = 90.00°, β = 90.00° and γ = 90.00°. Symmetry generates all atoms from Na at (0.000, 0.096, 0.000), Na at (0.000, 0.123, 0.667), Zr at (0.000, 0.218, 0.384), Al at (0.000, 0.428, 0.770), Se at (0.000, 0.060, 0.381), Se at (0.000, 0.287, 0.020), Se at (0.000, 0.300, 0.737), Se at (0.000, 0.355, 0.344) and Se at (0.000, 0.494, 0.624).



[16]
Material: Na3Zr3AlSe8
Method: DFT, PBE
State: relaxed

The calculation puts the uncorrected formation energy at -1.230 eV/atom. As for the density: 4.5 g/cm³.

It has space group R-3m (No. 166, hexagonal axes), with a = 7.6918 Å, b = 7.6918 Å, c = 21.5715 Å, α = 90.00°, β = 90.00° and γ = 120.00°. Symmetry generates all atoms from Na at (0.0000, 0.5000, 0.0000), Zr at (0.0000, 0.5000, 0.5000), Al at (0.0000, 0.0000, 0.5000), Se at (0.0000, 0.0000, 0.2420) and Se at (0.0127, 0.5064, 0.2372).



[17]
Material: Na2ZrAl2Se6
Method: DFT, PBE
State: relaxed

The calculation puts the uncorrected formation energy at -1.067 eV/atom. As for the density: 4.1 g/cm³.

It has space group C2/m (No. 12), with a = 6.574 Å, b = 11.368 Å, c = 7.460 Å, α = 90.00°, β = 106.94° and γ = 90.00°. Symmetry generates all atoms from Na at (0.000, 0.162, 0.000), Zr at (0.000, 0.000, 0.500), Al at (0.000, 0.331, 0.500), Se at (0.217, 0.500, 0.704) and Se at (0.240, 0.174, 0.708).



[18]
Material: NaAlSi
Method: DFT, PBE
State: relaxed

The calculation puts the uncorrected formation energy at 0.219 eV/atom. As for the density: 2.2 g/cm³.

It has space group C2/m (No. 12), with a = 2.821 Å, b = 14.215 Å, c = 5.775 Å, α = 90.00°, β = 91.63° and γ = 90.00°. Symmetry generates all atoms from Na at (0.010, 0.000, 0.255), Al at (0.000, 0.331, 0.000) and Si at (0.000, 0.322, 0.500).



[19]
Material: NaAlSi
Method: DFT, PBE
State: relaxed

The calculation puts the uncorrected formation energy at -0.072 eV/atom. As for the density: 2.2 g/cm³.

It has space group Pnma (No. 62), with a = 7.457 Å, b = 4.272 Å, c = 7.470 Å, α = 90.00°, β = 90.00° and γ = 90.00°. Symmetry generates all atoms from Na at (0.009, 0.250, 0.167), Al at (0.151, 0.250, 0.578) and Si at (0.197, 0.750, 0.392).



[20]
Material: NaAlSi2
Method: DFT, PBE
State: relaxed

The calculation puts the uncorrected formation energy at 0.264 eV/atom. As for the density: 2.0 g/cm³.

It has space group R-3m (No. 166, hexagonal axes), with a = 4.3603 Å, b = 4.3603 Å, c = 15.7740 Å, α = 90.00°, β = 90.00° and γ = 120.00°. Symmetry generates all atoms from Na at (0.0000, 0.0000, 0.0000), Al at (0.0000, 0.0000, 0.5000) and Si at (0.0000, 0.0000, 0.1986).



[21]
Material: NaAlSi
Method: DFT, PBE
State: relaxed

The calculation puts the uncorrected formation energy at 0.211 eV/atom. As for the density: 1.9 g/cm³.

It has space group Pmmm (No. 47), with a = 3.311 Å, b = 3.942 Å, c = 5.312 Å, α = 90.00°, β = 90.00° and γ = 90.00°. Symmetry generates all atoms from Na at (0.000, 0.000, 0.000), Al at (0.000, 0.500, 0.500) and Si at (0.500, 0.000, 0.500).